[1]
MnTc2Pb: optimized geometry, PBE.

abc: 2.9980 3.8650 5.8011
angles: 90.00 90.61 90.00
Last column: nearest neighbours and their distance in Å.
Space group Pm (No. 6)
Symmetry-distinct sites (fractional):
Mn (0.0000, 0.0000, 0.0000) x1  1 Tc 2.46
Tc (0.5071, 0.5000, 0.2252) x1  4 Tc 2.67-2.74, 4 Mn 2.77-2.78, 2 Pb 2.90
Tc (0.9902, 0.0000, 0.4236) x1  1 Mn 2.46, 4 Tc 2.67-2.74
Pb (0.4953, 0.5000, 0.7255) x1  6 Tc 2.90-3.01, 4 Mn 2.92, 2 Pb 3.00

Density of states at the Fermi level, states/eV per atom: 0.757
Uncorrected energy, eV/atom: -7.98
V, Å³ per atom: 16.80

=====

[2]
Mn2TcPb: optimized geometry, PBE.

abc: 3.0947 3.0947 7.4282
angles: 90.00 90.00 90.00
Last column: nearest neighbours and their distance in Å.
Space group P4/mmm (No. 123)
Symmetry-distinct sites (fractional):
Mn (0.0000, 0.0000, 0.1977) x2  4 Tc 2.64, 1 Mn 2.94
Tc (0.5000, 0.5000, 0.0000) x1  8 Mn 2.64
Pb (0.5000, 0.5000, 0.5000) x1  4 Pb 3.09, 8 Mn 3.14

Density of states at the Fermi level, states/eV per atom: 0.759
Uncorrected energy, eV/atom: -7.71
V, Å³ per atom: 17.78

=====

[3]
MnTc2Pb: optimized geometry, PBE.

abc: 2.9506 2.9506 26.6820
angles: 90.00 90.00 120.00
Last column: nearest neighbours and their distance in Å.
Space group R-3m (No. 166, hexagonal axes)
Symmetry-distinct sites (fractional):
Mn (0.0000, 0.0000, 0.0000) x3  6 Tc 2.55
Tc (0.0000, 0.0000, 0.2622) x6  3 Mn 2.55
Pb (0.0000, 0.0000, 0.5000) x3  6 Pb 2.95, 6 Tc 3.07

Density of states at the Fermi level, states/eV per atom: 0.980
Uncorrected energy, eV/atom: -7.79
V, Å³ per atom: 16.76

=====

[4]
MnTcPb2: optimized geometry, PBE.

abc: 6.7394 6.7668 3.4501
angles: 90.00 90.00 90.00
Last column: nearest neighbours and their distance in Å.
Space group Cmmm (No. 65)
Symmetry-distinct sites (fractional):
Mn (0.0000, 0.0000, 0.0000) x2  8 Pb 2.95
Tc (0.0000, 0.5000, 0.0000) x2  8 Pb 2.95
Pb (0.2500, 0.2500, 0.5000) x4  4 Mn 2.95, 4 Tc 2.95

Density of states at the Fermi level, states/eV per atom: 1.052
Energy above the lowest structure with this stoichiometry, meV/atom: 353
Uncorrected energy, eV/atom: -6.07
V, Å³ per atom: 19.67

=====

[5]
MnTcPb2: optimized geometry, PBE.

abc: 6.9690 6.9690 6.9690
angles: 90.00 90.00 90.00
Last column: nearest neighbours and their distance in Å.
Space group F-43m (No. 216)
Symmetry-distinct sites (fractional):
Mn (0.0000, 0.0000, 0.0000) x4  4 Pb 3.02, 4 Tc 3.02
Tc (0.2500, 0.2500, 0.7500) x4  4 Mn 3.02, 4 Pb 3.02
Pb (0.0000, 0.0000, 0.5000) x4  4 Pb 3.02, 4 Tc 3.02
Pb (0.2500, 0.2500, 0.2500) x4  4 Mn 3.02, 4 Pb 3.02

Density of states at the Fermi level, states/eV per atom: 1.193
Energy above the lowest structure with this stoichiometry, meV/atom: 529
Uncorrected energy, eV/atom: -5.89
V, Å³ per atom: 21.15

=====

[6]
MnTc2Pb: optimized geometry, PBE.

abc: 3.0264 3.0264 7.8718
angles: 90.00 90.00 90.00
Last column: nearest neighbours and their distance in Å.
Space group P4mm (No. 99)
Symmetry-distinct sites (fractional):
Mn (0.0000, 0.0000, 0.0000) x1  4 Tc 2.77, 4 Mn 3.03
Tc (0.0000, 0.0000, 0.5938) x1  4 Tc 2.58
Tc (0.5000, 0.5000, 0.7766) x1  4 Tc 2.58, 4 Mn 2.77
Pb (0.5000, 0.5000, 0.3085) x1  4 Pb 3.03, 4 Tc 3.10, 4 Mn 3.24

Density of states at the Fermi level, states/eV per atom: 0.674
Uncorrected energy, eV/atom: -8.03
V, Å³ per atom: 18.02

=====

[7]
MnTc2Pb: optimized geometry, PBE.

abc: 4.0498 4.0498 7.9367
angles: 90.00 90.00 90.00
Last column: nearest neighbours and their distance in Å.
Space group I4/mmm (No. 139)
Symmetry-distinct sites (fractional):
Mn (0.0000, 0.0000, 0.0000) x2  8 Tc 2.83, 4 Pb 2.86
Tc (0.0000, 0.5000, 0.2500) x4  4 Mn 2.83, 4 Pb 2.83, 4 Tc 2.86
Pb (0.0000, 0.0000, 0.5000) x2  8 Tc 2.83, 4 Mn 2.86

Density of states at the Fermi level, states/eV per atom: 0.647
Uncorrected energy, eV/atom: -7.90
V, Å³ per atom: 16.27

=====

[8]
Mn2TcPb: optimized geometry, PBE.

abc: 7.2135 7.2135 5.5088
angles: 90.00 90.00 90.00
Last column: nearest neighbours and their distance in Å.
Space group I-42d (No. 122)
Symmetry-distinct sites (fractional):
Mn (0.2098, 0.2500, 0.1250) x8  2 Tc 2.45
Tc (0.0000, 0.0000, 0.0000) x4  4 Mn 2.45
Pb (0.0000, 0.0000, 0.5000) x4  2 Tc 2.75, 4 Mn 2.85

Density of states at the Fermi level, states/eV per atom: 1.332
Uncorrected energy, eV/atom: -7.32
V, Å³ per atom: 17.92

=====

Q: density of states at the Fermi level of number 4 (MnTcPb2)?
A: 1.052 states/eV per atom